CrSe2O6 (PBE+U, relaxed); space-group type = P-3m1 (164); DFT total energy = -52.1 eV per cell
1.0
-3.127 -5.178 0.904
4.649 -2.644 0.933
-2.670 2.331 4.112
Cr O Se
1 6 2
direct
0.000 0.000 0.000
0.811 0.165 0.330
0.189 0.835 0.670
0.189 0.330 0.165
0.811 0.670 0.835
0.811 0.165 0.835
0.189 0.835 0.165
0.293 0.667 0.333
0.707 0.333 0.667